[1]
# Dy2Pt17

Crystalline Dy2Pt17 at its relaxed geometry (PBE, Alexandria).

```
Dy2Pt17
1.0
-4.976 4.652 1.477
-3.672 -0.865 -5.861
-4.601 -4.545 2.599
Dy Pt
2 17
direct
0.665 0.665 0.665
0.335 0.335 0.335
0.165 0.655 0.655
0.686 0.000 0.314
0.345 0.835 0.345
0.314 0.686 0.000
0.314 0.000 0.686
0.500 0.000 0.000
0.000 0.000 0.500
0.345 0.345 0.835
0.111 0.111 0.111
0.000 0.686 0.314
0.000 0.314 0.686
0.835 0.345 0.345
0.889 0.889 0.889
0.655 0.655 0.165
0.655 0.165 0.655
0.000 0.500 0.000
0.686 0.314 0.000
```

E_tot in eV for the cell shown: -119.40
DOS at the Fermi energy in states/eV/atom: 0.94
Crystal system: trigonal

[2]
# ScHg2P

Crystalline ScHg2P at its relaxed geometry (PBE, Alexandria).

```
ScHg2P
1.0
-1.226 -0.625 -3.339
2.961 -2.004 -0.713
-2.475 -7.053 2.228
Sc P Hg
1 1 2
direct
0.500 0.058 0.364
0.000 0.552 0.378
0.000 0.163 0.014
0.500 0.727 0.745
```

E_tot in eV for the cell shown: -14.14
DOS at the Fermi energy in states/eV/atom: 0.22
Crystal system: monoclinic